Entry 1:
DFT (PBE) results for a geometry-optimized TaTlZn3 structure.

Properties
energy relative to the elements = 1.4890 eV per atom
offset from the most stable computed form = 550 meV/atom
space group = No. 221

Unit cell a=4.9149 b=4.9149 c=4.9149 alpha=90.00 beta=90.00 gamma=90.00
Positions (direct):
Ta 0.0000 0.0000 0.0000
Tl 0.5000 0.5000 0.5000
Zn 0.0000 0.5000 0.5000
Zn 0.5000 0.0000 0.5000
Zn 0.5000 0.5000 0.0000

***

Entry 2:
DFT (PBE) results for a geometry-optimized Ce2PaGa2Cu2 structure.

Properties
energy relative to the elements = -0.2698 eV per atom
space group = No. 166

Unit cell a=9.3076 b=9.3076 c=9.3076 alpha=26.49 beta=26.49 gamma=26.49
Positions (direct):
Ce 0.1394 0.1394 0.1394
Ce 0.8606 0.8606 0.8606
Pa 0.0000 0.0000 0.0000
Ga 0.2643 0.2643 0.2643
Ga 0.7357 0.7357 0.7357
Cu 0.3992 0.3992 0.3992
Cu 0.6008 0.6008 0.6008

***

Entry 3:
DFT (PBE) results for a geometry-optimized CeNi4Pt2 structure.

Properties
energy relative to the elements = 0.1739 eV per atom
offset from the most stable computed form = 597 meV/atom
space group = No. 139

Unit cell a=5.7111 b=5.7111 c=5.7111 alpha=102.44 beta=102.44 gamma=124.70
Positions (direct):
Ce 0.0000 0.0000 0.0000
Ni 0.2836 0.5000 0.7836
Ni 0.5000 0.2836 0.7836
Ni 0.5000 0.7164 0.2164
Ni 0.7164 0.5000 0.2164
Pt 0.2500 0.7500 0.5000
Pt 0.7500 0.2500 0.5000

***

Entry 4:
DFT (PBE) results for a geometry-optimized TbPr2YTm6 structure.

Properties
energy relative to the elements = 0.1189 eV per atom
space group = No. 15

Unit cell a=8.7310 b=8.7310 c=9.6614 alpha=94.72 beta=94.72 gamma=118.30
Positions (direct):
Tb 0.0941 0.9059 0.7500
Tb 0.9059 0.0941 0.2500
Pr 0.2019 0.3080 0.9571
Pr 0.3080 0.2019 0.4571
Pr 0.6920 0.7981 0.5429
Pr 0.7981 0.6920 0.0429
Y 0.4827 0.5173 0.2500
Y 0.5173 0.4827 0.7500
Tm 0.0026 0.7914 0.3814
Tm 0.0772 0.5252 0.1872
Tm 0.2086 0.9974 0.1186
Tm 0.2421 0.6261 0.5575
Tm 0.3739 0.7579 0.9425
Tm 0.4748 0.9228 0.3128
Tm 0.5252 0.0772 0.6872
Tm 0.6261 0.2421 0.0575
Tm 0.7579 0.3739 0.4425
Tm 0.7914 0.0026 0.8814
Tm 0.9228 0.4748 0.8128
Tm 0.9974 0.2086 0.6186

***

Entry 5:
DFT (PBE) results for a geometry-optimized Pu2Si2S7 structure.

Properties
space group = No. 12
formation energy from raw total energies = -0.93 eV per atom

Unit cell a=6.9671 b=6.9671 c=5.9812 alpha=96.87 beta=96.87 gamma=101.96
Positions (direct):
Pu 0.1940 0.8060 0.0000
Pu 0.8060 0.1940 0.0000
Si 0.2749 0.2749 0.5899
Si 0.7251 0.7251 0.4101
S 0.0848 0.4168 0.7703
S 0.1117 0.1117 0.2736
S 0.4168 0.0848 0.7703
S 0.5000 0.5000 0.5000
S 0.5832 0.9152 0.2297
S 0.8883 0.8883 0.7264
S 0.9152 0.5832 0.2297

***

Entry 6:
DFT (PBE) results for a geometry-optimized Be2TcPt structure.

Properties
energy relative to the elements = -0.1450 eV per atom
offset from the most stable computed form = 233 meV/atom
space group = No. 166

Unit cell a=7.6794 b=7.6794 c=7.6794 alpha=20.55 beta=20.55 gamma=20.55
Positions (direct):
Be 0.2491 0.2491 0.2491
Be 0.7509 0.7509 0.7509
Tc 0.0000 0.0000 0.0000
Pt 0.5000 0.5000 0.5000